A plane-wave DFT calculation with PBE-GGA was carried out for crystalline SrAl2Se2 at its relaxed geometry.

abc: 8.537 8.537 4.106
angles: 90.00 90.00 90.00
Fractional positions:
Sr1 0.000 0.000 0.000
Sr2 0.500 0.500 0.000
Al1 0.104 0.604 0.500
Al2 0.604 0.896 0.500
Al3 0.896 0.396 0.500
Al4 0.396 0.104 0.500
Se1 0.218 0.718 0.000
Se2 0.718 0.782 0.000
Se3 0.782 0.282 0.000
Se4 0.282 0.218 0.000

Results
energy = -3.7865 eV per atom
calculated volume = 150 Å³/f.u.
ΔE_f (raw) = -2.8 eV/f.u.
magnetic moment = 0.3 μB/f.u.
energy above the lowest structure with this stoichiometry = 63 meV/atom